No. 1
# CeHo5Tm4 (PBE, optimized geometry)
# DOS at the Fermi energy ... 15.41 states/eV/f.u.
# Energy of formation from the pure elements ... 281 meV per atom
# Crystal system ... tetragonal
# Total moment ... 0.2 μB/cell
data_CeHo5Tm4
_chemical_formula_sum 'Ce1 Ho5 Tm4'
_cell_length_a 5.7618
_cell_length_b 7.9163
_cell_length_c 7.9163
_cell_angle_alpha 82.39
_cell_angle_beta 68.66
_cell_angle_gamma 68.66
_space_group_name_H-M_alt 'P 1'
_space_group_IT_number 1
loop_
_space_group_symop_operation_xyz
'x,y,z'
loop_
_atom_site_label
_atom_site_type_symbol
_atom_site_fract_x
_atom_site_fract_y
_atom_site_fract_z
_atom_site_occupancy
Ho1 Ho 0.1446 0.0000 0.6269 1
Tm1 Tm 0.4563 0.3276 0.6724 1
Tm2 Tm 0.7838 0.6724 0.6724 1
Ho2 Ho 0.6616 0.0000 0.0000 1
Ho3 Ho 0.7714 0.3731 0.0000 1
Ce1 Ce 0.1916 0.0000 0.0000 1
Tm3 Tm 0.4563 0.6724 0.3276 1
Ho4 Ho 0.1446 0.6269 0.0000 1
Ho5 Ho 0.7715 0.0000 0.3731 1
Tm4 Tm 0.1287 0.3276 0.3276 1

No. 2
# ZrAgPb (PBE, optimized geometry)
# DOS at the Fermi energy ... 1.10 states/eV/f.u.
# Energy of formation from the pure elements ... -22 meV per atom
# Crystal system ... monoclinic
# Total moment ... 0.0 μB/cell
data_ZrAgPb
_chemical_formula_sum 'Zr2 Ag2 Pb2'
_cell_length_a 4.1479
_cell_length_b 4.1467
_cell_length_c 7.8596
_cell_angle_alpha 90.00
_cell_angle_beta 90.06
_cell_angle_gamma 90.00
_space_group_name_H-M_alt 'P 1'
_space_group_IT_number 1
loop_
_space_group_symop_operation_xyz
'x,y,z'
loop_
_atom_site_label
_atom_site_type_symbol
_atom_site_fract_x
_atom_site_fract_y
_atom_site_fract_z
_atom_site_occupancy
Pb1 Pb 0.2511 0.7500 0.7631 1
Ag1 Ag 0.2498 0.2500 0.4999 1
Zr1 Zr 0.7511 0.2500 0.8617 1
Pb2 Pb 0.7489 0.2500 0.2369 1
Zr2 Zr 0.2489 0.7500 0.1383 1
Ag2 Ag 0.7502 0.7500 0.5001 1